1.
Computed, not measured: an optimized crystal structure of K3NiPd at the GGA-PBE level of DFT.

Summary:
Energy = -11.171 eV per formula unit

Geometry as CIF:
```
data_K3NiPd
_space_group_name_H-M_alt 'P m -3 m'
_space_group_IT_number 221
_space_group_name_Hall '-P 4 2 3'
_cell_length_a 6.148
_cell_length_b 6.148
_cell_length_c 6.148
_cell_angle_alpha 90.00
_cell_angle_beta 90.00
_cell_angle_gamma 90.00
loop_
_atom_site_label
_atom_site_type_symbol
_atom_site_fract_x
_atom_site_fract_y
_atom_site_fract_z
K1 K 0.000 0.000 0.500
Ni1 Ni 0.500 0.500 0.500
Pd1 Pd 0.000 0.000 0.000
```


2.
Computed, not measured: an optimized crystal structure of K2NiPd at the GGA-PBE level of DFT.

Summary:
Energy = -10.232 eV per formula unit
Energy above the most stable polymorph in this dataset = 0.261 eV per atom

Geometry as CIF:
```
data_K2NiPd
_space_group_name_H-M_alt 'F m -3 m'
_space_group_IT_number 225
_space_group_name_Hall '-F 4 2 3'
_cell_length_a 7.664
_cell_length_b 7.664
_cell_length_c 7.664
_cell_angle_alpha 90.00
_cell_angle_beta 90.00
_cell_angle_gamma 90.00
loop_
_atom_site_label
_atom_site_type_symbol
_atom_site_fract_x
_atom_site_fract_y
_atom_site_fract_z
K1 K 0.250 0.250 0.250
Ni1 Ni 0.000 0.000 0.000
Pd1 Pd 0.000 0.000 0.500
```


3.
Computed, not measured: an optimized crystal structure of KNi2Pd2 at the GGA-PBE level of DFT.

Summary:
Energy = -21.895 eV per formula unit
Energy above the most stable polymorph in this dataset = 0.000 eV per atom

Geometry as CIF:
```
data_KNi2Pd2
_space_group_name_H-M_alt 'P 4/m b m'
_space_group_IT_number 127
_space_group_name_Hall '-P 4 2ab'
_cell_length_a 7.813
_cell_length_b 7.813
_cell_length_c 2.696
_cell_angle_alpha 90.00
_cell_angle_beta 90.00
_cell_angle_gamma 90.00
loop_
_atom_site_label
_atom_site_type_symbol
_atom_site_fract_x
_atom_site_fract_y
_atom_site_fract_z
K1 K 0.000 0.000 0.000
Ni1 Ni 0.112 0.388 0.000
Pd1 Pd 0.177 0.677 0.500
```


4.
Computed, not measured: an optimized crystal structure of KNi2Pd2 at the GGA-PBE level of DFT.

Summary:
Energy = -21.212 eV per formula unit
Energy above the most stable polymorph in this dataset = 0.136 eV per atom

Geometry as CIF:
```
data_KNi2Pd2
_space_group_name_H-M_alt 'I 4/m m m'
_space_group_IT_number 139
_space_group_name_Hall '-I 4 2'
_cell_length_a 4.288
_cell_length_b 4.288
_cell_length_c 10.033
_cell_angle_alpha 90.00
_cell_angle_beta 90.00
_cell_angle_gamma 90.00
loop_
_atom_site_label
_atom_site_type_symbol
_atom_site_fract_x
_atom_site_fract_y
_atom_site_fract_z
K1 K 0.000 0.000 0.000
Ni1 Ni 0.000 0.000 0.384
Pd1 Pd 0.000 0.500 0.250
```